{"formula": "YCr2Se", "functional": "PBE-GGA", "state": "relaxed", "lattice": [[3.5276, 0.0000, 0.0000], [0.0000, 3.5276, 0.0000], [0.0000, 0.0000, 5.7947]], "species": ["Y", "Cr", "Cr", "Se"], "frac_coords": [[0.0000, 0.0000, 0.0000], [0.5000, 0.5000, 0.3281], [0.5000, 0.5000, 0.6719], [0.0000, 0.0000, 0.5000]], "total_energy_ev_per_cell": -28.2, "sg": "P4/mmm", "formation_energy_uncorrected_mev_per_atom": 250, "volume_a3_per_cell": 72.11}